Record 1
VASP calculation (GGA-PBE) on crystalline CuHg8 at its relaxed geometry.

abc: 11.2973 11.2973 3.6638
angles: 90.00 90.00 90.00
Last column: nearest neighbours and their distance in Å.
Space group I4/mmm (No. 139)
One atom of each set of equivalent atoms:
Cu (0.0000, 0.0000, 0.0000) (multiplicity 2)  8 Hg 2.95
Hg (0.0000, 0.3329, 0.0000) (multiplicity 8)  8 Hg 3.24-3.25
Hg (0.1451, 0.1451, 0.5000) (multiplicity 8)  2 Cu 2.95, 6 Hg 3.25-3.28

Calculated values
Total DFT energy (no corrections)   -0.59 eV per atom
Volume   25.978 Å³ per atom
Total moment   0.0 μB/cell
DOS(E_F)   6.6 states/eV/cell

=====

Record 2
VASP calculation (GGA-PBE) on crystalline Pm4YRh4 at its relaxed geometry.

abc: 8.9109 8.9109 5.7535
angles: 90.00 90.00 90.00
Last column: nearest neighbours and their distance in Å.
Space group P4_2/n (No. 86, origin choice 2)
One atom of each set of equivalent atoms:
Pm (0.0619, 0.6663, 0.1558) (multiplicity 8)  5 Rh 2.82-3.04
Y (0.2500, 0.2500, 0.2500) (multiplicity 2)  4 Rh 2.74
Rh (0.0245, 0.6280, 0.6494) (multiplicity 8)  1 Y 2.74, 5 Pm 2.82-3.04, 1 Rh 2.89

Calculated values
Total DFT energy (no corrections)   -6.69 eV per atom
Volume   25.380 Å³ per atom
Total moment   0.0 μB/cell
DOS(E_F)   11.5 states/eV/cell

=====

Record 3
VASP calculation (GGA-PBE) on crystalline Ce2Mg2Ir3 at its relaxed geometry.

abc: 13.9229 4.2034 5.2449
angles: 90.00 102.62 90.00
Last column: nearest neighbours and their distance in Å.
Space group C2/m (No. 12)
One atom of each set of equivalent atoms:
Ce (0.1406, 0.0000, 0.0696) (multiplicity 4)  6 Ir 2.77-3.07
Mg (0.1024, 0.5000, 0.5630) (multiplicity 4)  5 Ir 2.75-2.99, 1 Mg 2.78
Ir (0.0000, 0.5000, 0.0000) (multiplicity 2)  4 Ce 2.84, 4 Mg 2.95-2.99
Ir (0.2355, 0.0000, 0.6567) (multiplicity 4)  3 Mg 2.75-2.77, 2 Ir 2.75, 4 Ce 2.77-3.07

Calculated values
Total DFT energy (no corrections)   -6.49 eV per atom
Volume   21.395 Å³ per atom
Total moment   0.0 μB/cell
DOS(E_F)   9.5 states/eV/cell

=====

Record 4
VASP calculation (GGA-PBE) on crystalline ErTlPd4 at its relaxed geometry.

abc: 4.9917 8.8982 5.0225
angles: 90.00 103.21 90.00
Last column: nearest neighbours and their distance in Å.
Space group C2/m (No. 12)
One atom of each set of equivalent atoms:
Er (0.0000, 0.0000, 0.0000) (multiplicity 2)  10 Pd 2.90-2.97, 2 Tl 3.11
Tl (0.0000, 0.5000, 0.5000) (multiplicity 2)  10 Pd 2.91-2.95, 2 Er 3.11
Pd (0.0000, 0.1680, 0.5000) (multiplicity 4)  7 Pd 2.89-3.11, 3 Tl 2.91-2.95, 2 Er 2.92
Pd (0.0000, 0.3333, 0.0000) (multiplicity 4)  7 Pd 2.90-3.11, 3 Er 2.90-2.97, 2 Tl 2.92

Calculated values
Total DFT energy (no corrections)   -5.14 eV per atom
Energy above the most stable polymorph in this dataset   46 meV/atom
Volume   18.098 Å³ per atom
Total moment   0.0 μB/cell
DOS(E_F)   5.4 states/eV/cell

=====

Record 5
VASP calculation (GGA-PBE) on crystalline Ba2MgHg at its relaxed geometry.

abc: 9.5357 9.5357 7.8482
angles: 90.00 90.00 90.00
Last column: nearest neighbours and their distance in Å.
Space group I-42d (No. 122)
One atom of each set of equivalent atoms:
Ba (0.2220, 0.2500, 0.1250) (multiplicity 8)  2 Hg 3.34, 2 Mg 3.70
Mg (0.0000, 0.0000, 0.5000) (multiplicity 4)  4 Ba 3.70, 2 Hg 3.92
Hg (0.0000, 0.0000, 0.0000) (multiplicity 4)  4 Ba 3.34

Calculated values
Total DFT energy (no corrections)   -1.45 eV per atom
Energy above the most stable polymorph in this dataset   277 meV/atom
Volume   44.602 Å³ per atom
Total moment   0.0 μB/cell
DOS(E_F)   18.0 states/eV/cell

=====

Record 6
VASP calculation (GGA-PBE) on crystalline YZr2W at its relaxed geometry.

abc: 6.5369 7.2257 3.7267
angles: 90.00 90.00 90.00
Last column: nearest neighbours and their distance in Å.
Space group Cmmm (No. 65)
One atom of each set of equivalent atoms:
Y (0.0000, 0.0000, 0.0000) (multiplicity 2)  8 Zr 3.07, 2 W 3.27
Zr (0.2500, 0.2500, 0.5000) (multiplicity 4)  4 W 3.07, 4 Y 3.07, 2 Zr 3.27
W (0.0000, 0.5000, 0.0000) (multiplicity 2)  8 Zr 3.07, 2 Y 3.27

Calculated values
Total DFT energy (no corrections)   -8.74 eV per atom
Energy above the most stable polymorph in this dataset   221 meV/atom
Volume   22.003 Å³ per atom
Total moment   0.0 μB/cell
DOS(E_F)   11.1 states/eV/cell

=====

Record 7
VASP calculation (GGA-PBE) on crystalline Al2TcW at its relaxed geometry.

abc: 6.1909 6.1909 6.1909
angles: 90.00 90.00 90.00
Last column: nearest neighbours and their distance in Å.
Space group Fm-3m (No. 225)
One atom of each set of equivalent atoms:
Al (0.2500, 0.2500, 0.2500) (multiplicity 8)  4 W 2.68, 4 Tc 2.68
Tc (0.0000, 0.0000, 0.0000) (multiplicity 4)  8 Al 2.68
W (0.0000, 0.0000, 0.5000) (multiplicity 4)  8 Al 2.68

Calculated values
Total DFT energy (no corrections)   -7.64 eV per atom
Energy above the most stable polymorph in this dataset   367 meV/atom
Volume   14.830 Å³ per atom
Total moment   4.3 μB/cell
DOS(E_F)   18.3 states/eV/cell

=====

Record 8
VASP calculation (GGA-PBE) on crystalline Th3Ga at its relaxed geometry.

abc: 3.4297 3.4590 10.2091
angles: 90.00 90.00 90.00
Last column: nearest neighbours and their distance in Å.
Space group Pmm2 (No. 25)
One atom of each set of equivalent atoms:
Th (0.0000, 0.0000, 0.0000) (multiplicity 1)  10 Th 3.43-3.59
Th (0.0000, 0.5000, 0.2907) (multiplicity 1)  4 Ga 3.16, 6 Th 3.43-3.46
Th (0.5000, 0.5000, 0.7417) (multiplicity 1)  2 Ga 3.12, 4 Th 3.43-3.46
Ga (0.5000, 0.0000, 0.4875) (multiplicity 1)  6 Th 3.12-3.16, 4 Ga 3.43-3.46

Calculated values
Total DFT energy (no corrections)   -6.24 eV per atom
Volume   30.279 Å³ per atom
Total moment   0.0 μB/cell
DOS(E_F)   5.3 states/eV/cell

=====

Record 9
VASP calculation (GGA-PBE) on crystalline AlZnAu2 at its relaxed geometry.

abc: 3.9045 3.9968 8.3960
angles: 90.00 90.00 90.00
Last column: nearest neighbours and their distance in Å.
Space group Imm2 (No. 44)
One atom of each set of equivalent atoms:
Al (0.0000, 0.0000, 0.0000) (multiplicity 2)  8 Au 2.79-2.91, 4 Zn 2.88-2.89
Zn (0.0000, 0.5000, 0.7516) (multiplicity 2)  8 Au 2.79-2.90, 4 Al 2.88-2.89
Au (0.0000, 0.0000, 0.5016) (multiplicity 2)  4 Al 2.79, 4 Zn 2.87-2.90, 4 Au 2.87-2.89
Au (0.0000, 0.5000, 0.2523) (multiplicity 2)  4 Zn 2.79, 4 Al 2.85-2.91, 4 Au 2.87-2.89

Calculated values
Total DFT energy (no corrections)   -3.12 eV per atom
Volume   16.378 Å³ per atom
Total moment   0.0 μB/cell
DOS(E_F)   2.3 states/eV/cell

=====

Record 10
VASP calculation (GGA-PBE) on crystalline Ce6HC3F2 at its relaxed geometry.

abc: 15.8471 3.6251 7.2984
angles: 90.00 103.85 90.00
Last column: nearest neighbours and their distance in Å.
Space group C2/m (No. 12)
One atom of each set of equivalent atoms:
Ce (0.0049, 0.0000, 0.2421) (multiplicity 4)  3 C 2.52, 1 F 2.62, 2 H 2.63
Ce (0.1637, 0.5000, 0.0902) (multiplicity 4)  3 C 2.51-2.52, 3 F 2.63
Ce (0.1687, 0.5000, 0.5709) (multiplicity 4)  3 C 2.50-2.52, 1 H 2.60, 2 F 2.63
H (0.0000, 0.5000, 0.5000) (multiplicity 2)  6 Ce 2.60-2.63
C (0.0000, 0.5000, 0.0000) (multiplicity 2)  6 Ce 2.52
C (0.1687, 0.0000, 0.3308) (multiplicity 4)  6 Ce 2.50-2.52
F (0.1654, 0.0000, 0.8304) (multiplicity 4)  6 Ce 2.62-2.63

Calculated values
Total DFT energy (no corrections)   -6.96 eV per atom
Volume   16.962 Å³ per atom
Total moment   0.6 μB/cell
DOS(E_F)   33.2 states/eV/cell

=====

Record 11
VASP calculation (GGA-PBE) on crystalline Pr8Sm4Mg at its relaxed geometry.

abc: 11.8009 11.8009 11.8293
angles: 90.00 90.00 120.00
Last column: nearest neighbours and their distance in Å.
Space group R-3m (No. 166, hexagonal axes)
One atom of each set of equivalent atoms:
Pr (0.0000, 0.0000, 0.2415) (multiplicity 6)  1 Sm 2.86, 1 Mg 3.06
Pr (0.0018, 0.5009, 0.3318) (multiplicity 18)  3 Sm 3.40-3.42, 3 Pr 3.42-3.56
Sm (0.0000, 0.0000, 0.0000) (multiplicity 3)  2 Pr 2.86
Sm (0.0000, 0.5000, 0.0000) (multiplicity 9)  6 Pr 3.40-3.58
Mg (0.0000, 0.0000, 0.5000) (multiplicity 3)  2 Pr 3.06

Calculated values
Total DFT energy (no corrections)   -4.13 eV per atom
Volume   36.581 Å³ per atom
Total moment   0.0 μB/cell
DOS(E_F)   72.9 states/eV/cell

=====

Record 12
VASP calculation (GGA-PBE) on crystalline Y3Er2Co2 at its relaxed geometry.

abc: 11.9608 3.6490 8.8324
angles: 90.00 115.83 90.00
Last column: nearest neighbours and their distance in Å.
Space group C2/m (No. 12)
One atom of each set of equivalent atoms:
Y (0.0000, 0.0000, 0.0000) (multiplicity 2)  4 Co 2.91
Y (0.1169, 0.0000, 0.4269) (multiplicity 4)  3 Co 2.78-2.89
Er (0.1736, 0.5000, 0.8063) (multiplicity 4)  2 Co 2.68
Co (0.1802, 0.5000, 0.2395) (multiplicity 4)  2 Er 2.68, 5 Y 2.78-2.91

Calculated values
Total DFT energy (no corrections)   -6.26 eV per atom
Volume   24.783 Å³ per atom
Total moment   0.0 μB/cell
DOS(E_F)   14.3 states/eV/cell

=====

Which value of DOS(E_F) does entry 1 give? 6.6 states/eV/cell

=====

The lowest total DFT energy (no corrections) belongs to which entry? YZr2W